# 1
# PBE Er4Ta6O19, optimized geometry
# Raw formation energy   -68.36 kcal/mol of atoms
# DOS at the Fermi energy   16.9 states/eV/cell
data_Er4Ta6O19
_chemical_formula_sum 'Er8 Ta12 O38'
_cell_length_a 9.071
_cell_length_b 9.071
_cell_length_c 9.071
_cell_angle_alpha 90.00
_cell_angle_beta 90.00
_cell_angle_gamma 90.00
_symmetry_space_group_name_H-M 'I 2 3'
_symmetry_Int_Tables_number 197
_symmetry_space_group_name_Hall 'I 2 2 3'
loop_
_atom_site_label
_atom_site_type_symbol
_atom_site_fract_x
_atom_site_fract_y
_atom_site_fract_z
Er1 Er 0.143 0.143 0.143
Ta1 Ta 0.000 0.154 0.500
O1 O 0.000 0.000 0.000
O2 O 0.000 0.000 0.327
O3 O 0.045 0.287 0.320


# 2
# PBE MnNbW, optimized geometry
# DOS at the Fermi energy   5.4 states/eV/cell
# Excess energy over the best structure of this formula in the dataset   0 meV/atom
data_MnNbW
_chemical_formula_sum 'Mn2 Nb2 W2'
_cell_length_a 3.116
_cell_length_b 3.116
_cell_length_c 9.369
_cell_angle_alpha 90.00
_cell_angle_beta 90.00
_cell_angle_gamma 90.00
_symmetry_space_group_name_H-M 'I 4 m m'
_symmetry_Int_Tables_number 107
_symmetry_space_group_name_Hall 'I 4 -2'
loop_
_atom_site_label
_atom_site_type_symbol
_atom_site_fract_x
_atom_site_fract_y
_atom_site_fract_z
Mn1 Mn 0.000 0.000 0.000
Nb1 Nb 0.000 0.000 0.665
W1 W 0.000 0.000 0.346


Calculated total moment (μB per formula unit), listed in the same order as above: 1.78, 0.15